1.
SmYPaO6 after structural relaxation. Source: Alexandria, functional PBE.

Calculated values
As for the uncorrected formation energy: -28.50 eV per formula unit.

Unit cell a=5.8693 b=5.8693 c=4.6796 alpha=90.00 beta=90.00 gamma=120.00
Atoms (fractional coordinates):
Sm: 0.0000 0.0000 0.0000
Y: 0.3333 0.6667 0.0000
Pa: 0.6667 0.3333 0.5000
O: 0.3546 0.0144 0.2467
O: 0.3546 0.3402 0.7533
O: 0.6598 0.0144 0.7533
O: 0.6598 0.6454 0.2467
O: 0.9856 0.3402 0.2467
O: 0.9856 0.6454 0.7533

---

2.
PaSn2O6 after structural relaxation. Source: Alexandria, functional PBE.

Calculated values
As for the uncorrected formation energy: -19.86 eV per formula unit.

Unit cell a=5.4775 b=5.4775 c=4.8861 alpha=90.00 beta=90.00 gamma=120.00
Atoms (fractional coordinates):
Pa: 0.0000 0.0000 0.0000
Sn: 0.3333 0.6667 0.5000
Sn: 0.6667 0.3333 0.5000
O: 0.0000 0.3367 0.7387
O: 0.0000 0.6633 0.2613
O: 0.3367 0.0000 0.7387
O: 0.3367 0.3367 0.2613
O: 0.6633 0.0000 0.2613
O: 0.6633 0.6633 0.7387